Record 1
Below is a relaxed structure of Cs4PuF10, with properties calculated at the PBE level.

The structure in extended XYZ format:
```
15
Lattice="-5.2240 5.2240 3.3130 5.2240 -5.2240 3.3130 5.2240 5.2240 -3.3130" Properties=species:S:1:pos:R:3 pbc="T T T"
Cs 3.1424 1.0527 0.0000
Cs 4.1714 -2.0816 3.3130
Cs 1.0527 7.3056 0.0000
Cs 2.0816 4.1714 3.3130
Pu 0.0000 0.0000 3.3130
F 4.4056 3.6631 -1.2463
F 1.5610 -0.8184 2.0666
F 5.2240 0.0000 1.6565
F 3.6631 6.0424 -1.2463
F 0.8184 1.5610 2.0666
F 4.4056 3.6631 1.2463
F 1.5610 -0.8184 4.5593
F 0.0000 5.2240 1.6565
F 3.6631 6.0424 1.2463
F 0.8184 1.5610 4.5593
```

Calculated values
The final energy comes out at -5.247 eV/atom. Its space-group type is No. 87. The value obtained for the formation energy from raw total energies is -2817 meV/atom. The crystal system is tetragonal.



Record 2
Below is a relaxed structure of Cs2PuF5, with properties calculated at the PBE level.

The structure in extended XYZ format:
```
8
Lattice="-3.6001 3.6001 4.2843 3.6001 -3.6001 4.2843 3.6001 3.6001 -4.2843" Properties=species:S:1:pos:R:3 pbc="T T T"
Cs 3.6001 0.0000 0.0000
Cs 0.0000 3.6001 0.0000
Pu 0.0000 0.0000 2.1554
F 0.0000 0.0000 0.0309
F 2.0496 2.0496 -1.7758
F 1.5505 -1.5505 2.5086
F -1.5505 1.5505 2.5086
F 1.5505 1.5505 2.5086
```

Calculated values
The final energy comes out at -6.254 eV/atom. Its space-group type is No. 107. The value obtained for the formation energy from raw total energies is -3080 meV/atom. The crystal system is tetragonal.



Record 3
Below is a relaxed structure of Cs2Pu2F7, with properties calculated at the PBE level.

The structure in extended XYZ format:
```
11
Lattice="3.9879 -4.4204 0.0000 3.9879 4.4204 0.0000 0.0000 0.0000 6.8426" Properties=species:S:1:pos:R:3 pbc="T T T"
Cs 1.9102 0.0000 0.0000
Cs 6.0656 0.0000 0.0000
Pu 3.9879 1.9921 3.4213
Pu 3.9879 -1.9921 3.4213
F 0.0000 0.0000 3.4213
F 1.9939 2.2102 2.0147
F 1.9939 2.2102 4.8280
F 1.9939 -2.2102 2.0147
F 1.9939 -2.2102 4.8280
F 3.9879 0.0000 2.0196
F 3.9879 0.0000 4.8230
```

Calculated values
The final energy comes out at -7.139 eV/atom. Its space-group type is No. 65. The value obtained for the formation energy from raw total energies is -3188 meV/atom. The crystal system is orthorhombic.



Which of these has the lowest formation energy from raw total energies? Cs2Pu2F7



The highest final energy belongs to which entry? Cs4PuF10



Look up the formation energy from raw total energies of the first one. -2817 meV/atom